Material: BeNbN
Method: DFT, PBE-GGA
State: optimized geometry

Cell lengths 8.7284, 2.9040, 4.7355 Å; angles 90.00, 90.00, 90.00 degrees
With the nearest neighbours (Å) after each atom.
Space group Pnma (No. 62)
Symmetry-distinct sites (fractional):
Be 0.1872 0.2500 0.2295 (multiplicity 4)  3 N 1.74-1.75
Nb 0.0603 0.2500 0.7370 (multiplicity 4)  4 N 2.33-2.36, 1 Be 2.58
N 0.1945 0.7500 0.4302 (multiplicity 4)  3 Be 1.74-1.75

***

Material: BeNbN3
Method: DFT, PBE-GGA
State: optimized geometry

Cell lengths 4.0340, 4.0340, 4.0340 Å; angles 90.00, 90.00, 90.00 degrees
With the nearest neighbours (Å) after each atom.
Space group Pm-3m (No. 221)
Symmetry-distinct sites (fractional):
Be 0.0000 0.0000 0.0000 (multiplicity 1)  12 N 2.85
Nb 0.5000 0.5000 0.5000 (multiplicity 1)  6 N 2.02
N 0.0000 0.5000 0.5000 (multiplicity 3)  2 Nb 2.02

***

Material: BeNb3N
Method: DFT, PBE-GGA
State: optimized geometry

Values from the calculation:
- ΔE to the lowest computed polymorph: 0 meV/atom

Cell lengths 4.2139, 4.2139, 4.2139 Å; angles 90.00, 90.00, 90.00 degrees
With the nearest neighbours (Å) after each atom.
Space group Pm-3m (No. 221)
Symmetry-distinct sites (fractional):
Be 0.0000 0.0000 0.0000 (multiplicity 1)  12 Nb 2.98
Nb 0.0000 0.5000 0.5000 (multiplicity 3)  2 N 2.11
N 0.5000 0.5000 0.5000 (multiplicity 1)  6 Nb 2.11

***

Material: Np3BeNb3N8
Method: DFT, PBE-GGA
State: optimized geometry

Cell lengths 6.3064, 6.3064, 15.9821 Å; angles 90.00, 90.00, 120.00 degrees
With the nearest neighbours (Å) after each atom.
Space group R-3m (No. 166, hexagonal axes)
Symmetry-distinct sites (fractional):
Np 0.0000 0.5000 0.0000 (multiplicity 9)  6 N 2.31-2.33
Be 0.0000 0.0000 0.5000 (multiplicity 3)  6 N 2.11
Nb 0.0000 0.5000 0.5000 (multiplicity 9)  6 N 2.19-2.21
N 0.0000 0.0000 0.2424 (multiplicity 6)  3 Nb 2.19, 3 Np 2.33
N 0.0137 0.5069 0.2411 (multiplicity 18)  1 Be 2.11, 2 Nb 2.21, 2 Np 2.31

***

Material: Np2BeNbN5
Method: DFT, PBE-GGA
State: optimized geometry

Cell lengths 3.1578, 12.9805, 9.8047 Å; angles 90.00, 90.00, 90.00 degrees
With the nearest neighbours (Å) after each atom.
Space group Cmc2_1 (No. 36)
Symmetry-distinct sites (fractional):
Np 0.0000 0.1178 0.0000 (multiplicity 4)  8 N 2.36-2.48
Np 0.0000 0.1311 0.6199 (multiplicity 4)  7 N 2.26-2.52
Be 0.0000 0.4990 0.2910 (multiplicity 4)  4 N 1.74-1.86
Nb 0.0000 0.1928 0.3163 (multiplicity 4)  6 N 2.08-2.17
N 0.0000 0.0345 0.3501 (multiplicity 4)  2 Be 1.74
N 0.0000 0.2977 0.9675 (multiplicity 4)  2 Nb 2.17, 3 Np 2.36
N 0.0000 0.3070 0.6659 (multiplicity 4)  2 Nb 2.16, 1 Np 2.33
N 0.0000 0.3573 0.3200 (multiplicity 4)  1 Be 1.86
N 0.0000 0.4926 0.1024 (multiplicity 4)  1 Be 1.85

***

Material: BeNbN2O
Method: DFT, PBE-GGA
State: optimized geometry

Cell lengths 3.5141, 3.5141, 3.3358 Å; angles 90.00, 90.00, 90.00 degrees
With the nearest neighbours (Å) after each atom.
Space group P4/mmm (No. 123)
Symmetry-distinct sites (fractional):
Be 0.0000 0.0000 0.0000 (multiplicity 1)  2 O 1.67, 4 N 1.76
Nb 0.5000 0.5000 0.5000 (multiplicity 1)  8 N 2.42, 4 O 2.48
N 0.0000 0.5000 0.0000 (multiplicity 2)  2 Be 1.76
O 0.0000 0.0000 0.5000 (multiplicity 1)  2 Be 1.67

***

Asked for E_form (uncorrected) across the records above, the calculation gives -0.703 1.074 -0.253 -0.934 -0.987 -0.211 eV per atom in order.